Crystalline AlAs2P at its relaxed geometry, computed with PBE.

Lattice parameters (Å, degrees): 4.4661 3.3479 4.6831 90.00 96.52 90.00
Space group P2/m (No. 10)
Symmetry-distinct sites (fractional):
Al: 0.0000 0.0000 0.0000 [1 per cell]
As: 0.5000 0.0000 0.5000 [1 per cell]
As: 0.5000 0.5000 0.0000 [1 per cell]
P: 0.0000 0.5000 0.5000 [1 per cell]

Calculated values
- Distance to the lowest polymorph of the same formula: 419 meV/atom
- Raw total energy: -4.2720 eV per atom
- ΔH_f (0 K): 132 kJ/mol of formula units

***

Crystalline Rb3AgO at its relaxed geometry, computed with PBE.

Lattice parameters (Å, degrees): 7.5906 7.5906 23.7051 90.00 90.00 120.00
Space group R-3m (No. 166, hexagonal axes)
Symmetry-distinct sites (fractional):
Rb: 0.0059 0.5030 0.4287 [18 per cell]
Ag: 0.0000 0.0000 0.3740 [6 per cell]
O: 0.0000 0.0000 0.1649 [6 per cell]

Calculated values
- Raw total energy: -2.6662 eV per atom

***

Crystalline LiSi2As at its relaxed geometry, computed with PBE.

Lattice parameters (Å, degrees): 6.1494 6.1494 9.6988 90.00 90.00 90.00
Space group I-42d (No. 122)
Symmetry-distinct sites (fractional):
Li: 0.0000 0.0000 0.0000 [4 per cell]
Si: 0.2320 0.2500 0.6250 [8 per cell]
As: 0.0000 0.0000 0.5000 [4 per cell]

Calculated values
- Raw total energy: -3.9444 eV per atom

***

Crystalline LiMgGaHg at its relaxed geometry, computed with PBE.

Lattice parameters (Å, degrees): 4.4701 4.4701 7.6048 90.00 90.00 90.00
Space group I-4m2 (No. 119)
Symmetry-distinct sites (fractional):
Li: 0.0000 0.0000 0.0000 [2 per cell]
Mg: 0.0000 0.0000 0.5000 [2 per cell]
Ga: 0.0000 0.5000 0.7500 [2 per cell]
Hg: 0.0000 0.5000 0.2500 [2 per cell]

Calculated values
- Distance to the lowest polymorph of the same formula: 0 meV/atom
- Raw total energy: -1.9464 eV per atom
- ΔH_f (0 K): -92 kJ/mol of formula units

***

Crystalline Sc2ZnNi2 at its relaxed geometry, computed with PBE.

Lattice parameters (Å, degrees): 3.4931 3.4931 14.1482 90.00 90.00 90.00
Space group I4/mmm (No. 139)
Symmetry-distinct sites (fractional):
Sc: 0.0000 0.0000 0.1148 [4 per cell]
Zn: 0.0000 0.0000 0.5000 [2 per cell]
Ni: 0.0000 0.5000 0.2500 [4 per cell]

Calculated values
- Raw total energy: -5.3101 eV per atom
- ΔH_f (0 K): -101 kJ/mol of formula units

***

Crystalline Mg2MoAs at its relaxed geometry, computed with PBE.

Lattice parameters (Å, degrees): 3.3072 3.3072 6.7182 90.00 90.00 90.00
Space group P4mm (No. 99)
Symmetry-distinct sites (fractional):
Mg: 0.0000 0.0000 0.0000 [1 per cell]
Mg: 0.5000 0.5000 0.3100 [1 per cell]
Mo: 0.0000 0.0000 0.5697 [1 per cell]
As: 0.5000 0.5000 0.7413 [1 per cell]

Calculated values
- Raw total energy: -4.7376 eV per atom
- ΔH_f (0 K): -27 kJ/mol of formula units

***

Crystalline V2NiS4 at its relaxed geometry, computed with PBE.

Lattice parameters (Å, degrees): 7.7717 7.7717 5.7877 90.00 90.00 90.00
Space group I4/mmm (No. 139)
Symmetry-distinct sites (fractional):
V: 0.0000 0.5000 0.2500 [4 per cell]
Ni: 0.0000 0.0000 0.0000 [2 per cell]
S: 0.0000 0.2849 0.0000 [8 per cell]

Calculated values
- Distance to the lowest polymorph of the same formula: 193 meV/atom
- Raw total energy: -6.3984 eV per atom

***

Crystalline NaLa3Pd at its relaxed geometry, computed with PBE.

Lattice parameters (Å, degrees): 5.8075 5.8075 5.8075 90.00 90.00 90.00
Space group Pm-3m (No. 221)
Symmetry-distinct sites (fractional):
Na: 0.0000 0.0000 0.0000 [1 per cell]
La: 0.0000 0.5000 0.5000 [3 per cell]
Pd: 0.5000 0.5000 0.5000 [1 per cell]

Calculated values
- Distance to the lowest polymorph of the same formula: 0 meV/atom
- Raw total energy: -4.3468 eV per atom
- ΔH_f (0 K): -42 kJ/mol of formula units